No. 1
Density functional theory data (PBE) for a relaxed structure of HfP3N.

Unit cell a=4.0850 b=4.0850 c=4.0850 alpha=90.00 beta=90.00 gamma=90.00
Element x y z (fractional)
N 0.0000 0.0000 0.0000
Hf 0.5000 0.5000 0.5000
P 0.5000 0.0000 0.0000
P 0.0000 0.0000 0.5000
P 0.0000 0.5000 0.0000

Output
SG	Pm-3m


No. 2
Density functional theory data (PBE) for a relaxed structure of Hf6P2N.

Unit cell a=3.4378 b=5.6645 c=8.3288 alpha=90.93 beta=90.00 gamma=107.66
Element x y z (fractional)
Hf 0.8650 0.7300 0.4500
Hf 0.4403 0.8806 0.7541
Hf 0.1404 0.2807 0.9425
Hf 0.1350 0.2700 0.5500
P 0.7506 0.5012 0.7491
P 0.2494 0.4988 0.2509
N 0.5000 0.0000 0.5000
Hf 0.5597 0.1194 0.2459
Hf 0.8596 0.7193 0.0575

Output
SG	C2/m


Q: Which raw total energy values were calculated for the entries above? A: -33.3, -88.7, in eV/f.u..